Pr2PuTe4 | PBE | relaxed

Results
Energy relative to the elements, uncorrected = -9.5 eV per formula unit
Calculated density = 7.916 Mg/m³
Electronic total energy = -91.868 eV per cell

Cell lengths 8.2658, 8.2658, 8.2658 Å; angles 109.43, 109.54, 109.43 degrees
Each line ends with the local moment (μB).
Positions (direct):
Pr1 0.8750 0.1255 0.5005  0.07
Pr2 0.4995 0.3745 0.6250  0.07
Pr3 0.3750 0.8745 0.7495  0.07
Pr4 0.2505 0.6255 0.1250  0.07
Te1 0.6280 0.7514 0.0281  -0.03
Te2 0.9719 0.5999 0.7232  -0.03
Te3 0.1233 0.4001 0.3720  -0.03
Te4 0.6267 0.7486 0.5268  -0.03
Te5 0.2768 0.2486 0.8767  -0.03
Te6 0.7781 0.2514 0.8780  -0.03
Te7 0.4732 0.0999 0.2219  -0.03
Te8 0.1220 0.9001 0.3733  -0.03
Pu1 0.7500 0.5000 0.2500  5.53
Pu2 0.0000 0.0000 0.0000  5.53